Below is crystalline NaSr2MoO6 at its relaxed geometry, with properties calculated at the PBE+U level.

Structure (POSCAR):
```
NaSr2MoO6
1.0
5.798 0.000 0.000
0.000 6.072 0.000
-5.631 0.000 8.216
Na Sr Mo O
2 4 2 12
direct
0.000 0.000 0.000
0.000 0.500 0.500
0.227 0.060 0.744
0.227 0.440 0.244
0.773 0.560 0.756
0.773 0.940 0.256
0.500 0.000 0.500
0.500 0.500 0.000
0.187 0.178 0.458
0.187 0.322 0.958
0.269 0.735 0.441
0.269 0.765 0.941
0.374 0.039 0.275
0.374 0.461 0.775
0.626 0.539 0.225
0.626 0.961 0.725
0.731 0.235 0.059
0.731 0.265 0.559
0.813 0.678 0.042
0.813 0.822 0.542
```

Values from the calculation:
As for the space group: P2_1/c (14). For the density, the calculation gives 4.48 Mg/m³. Its total magnetization is 0.11 μB per atom. The calculation puts the calculated total energy at -6.26 eV/atom.